Entry from Alexandria via LeMat-Bulk: a relaxed structure of LaTh2Ga (PBE).

Results
The formation energy is -0.0473 eV per atom.

Unit cell a=3.6241 b=3.6241 c=32.2470 alpha=90.00 beta=90.00 gamma=120.00
Last column: nearest neighbours and their distance in Å.
Positions (direct):
La 0.0000 0.0000 0.0000  6 La 3.62, 6 Th 3.67-3.70
La 0.3333 0.6667 0.6667  6 La 3.62, 6 Th 3.67-3.70
La 0.6667 0.3333 0.3333  6 La 3.62, 6 Th 3.67-3.70
Th 0.0000 0.0000 0.5721  3 Ga 3.15
Th 0.0000 0.0000 0.7600  3 Ga 3.14
Th 0.3333 0.6667 0.2388  3 Ga 3.15
Th 0.3333 0.6667 0.4267  3 Ga 3.14
Th 0.6667 0.3333 0.0934  3 Ga 3.14
Th 0.6667 0.3333 0.9054  3 Ga 3.15
Ga 0.0000 0.0000 0.1659  6 Th 3.14-3.15
Ga 0.3333 0.6667 0.8326  6 Th 3.14-3.15
Ga 0.6667 0.3333 0.4993  6 Th 3.14-3.15

---

Entry from Alexandria via LeMat-Bulk: a relaxed structure of La2ThGa (PBE).

Results
The formation energy is -0.2470 eV per atom.

Unit cell a=3.6686 b=3.6686 c=8.9991 alpha=90.00 beta=90.00 gamma=90.00
Last column: nearest neighbours and their distance in Å.
Positions (direct):
La 0.0000 0.0000 0.2202  4 Ga 3.26, 4 Th 3.62
La 0.0000 0.0000 0.7798  4 Ga 3.26, 4 Th 3.62
Th 0.5000 0.5000 0.5000  8 La 3.62, 4 Th 3.67
Ga 0.5000 0.5000 0.0000  8 La 3.26